Entry 1:
MgP2H12O11: optimized geometry, PBEsol.

Lattice parameters (Å, degrees): 7.3630 7.6688 9.0799 68.29 89.71 71.45
With the nearest neighbours (Å) after each atom.
Fractional coordinates of all 52 atoms:
Mg (0.1466, 0.2207, 0.2974)  6 O 2.04-2.19
Mg (0.8534, 0.7793, 0.7026)  6 O 2.04-2.19
P (0.1173, 0.0832, 0.6931)  4 O 1.52-1.59
P (0.2637, 0.4203, 0.9361)  4 O 1.51-1.61
P (0.7363, 0.5797, 0.0639)  4 O 1.51-1.61
P (0.8827, 0.9168, 0.3069)  4 O 1.52-1.59
H (0.0412, 0.3243, 0.7993)  1 O 1.04
H (0.1539, 0.6419, 0.5091)  1 O 1.01
H (0.1896, 0.7343, 0.8814)  1 O 1.07
H (0.2309, 0.8856, 0.0826)  1 H 0.77
H (0.2860, 0.9591, 0.0701)  1 H 0.77
H (0.3075, 0.4498, 0.3980)  1 O 1.01
H (0.3283, 0.8014, 0.4490)  1 O 1.00
H (0.3492, 0.4555, 0.2237)  1 O 0.98
H (0.3565, 0.4950, 0.6175)  1 O 0.99
H (0.4355, 0.9093, 0.8123)  1 O 1.00
H (0.4556, 0.7420, 0.1267)  1 O 0.99
H (0.4750, 0.9220, 0.3936)  1 O 0.99
H (0.5250, 0.0780, 0.6064)  1 O 0.99
H (0.5444, 0.2580, 0.8733)  1 O 0.99
H (0.5645, 0.0907, 0.1877)  1 O 1.00
H (0.6435, 0.5050, 0.3825)  1 O 0.99
H (0.6508, 0.5445, 0.7763)  1 O 0.98
H (0.6717, 0.1986, 0.5510)  1 O 1.00
H (0.6925, 0.5502, 0.6020)  1 O 1.01
H (0.7140, 0.0409, 0.9299)  1 H 0.77
H (0.7691, 0.1144, 0.9174)  1 H 0.77
H (0.8104, 0.2657, 0.1186)  1 O 1.07
H (0.8461, 0.3581, 0.4909)  1 O 1.01
H (0.9588, 0.6757, 0.2007)  1 O 1.04
O (0.0157, 0.1996, 0.7966)  1 H 1.04
O (0.0612, 0.2132, 0.5166)  1 P 1.52, 1 H 1.58
O (0.0663, 0.8922, 0.7491)  1 H 1.40, 1 P 1.53
O (0.0712, 0.4930, 0.8315)  1 H 1.51, 1 P 1.53
O (0.2836, 0.5995, 0.9710)  1 H 1.07
O (0.2967, 0.5786, 0.5052)  2 H 0.99-1.01
O (0.3068, 0.2384, 0.0909)  1 P 1.51
O (0.3199, 0.3732, 0.3261)  2 H 0.98-1.01
O (0.3383, 0.9385, 0.4075)  2 H 0.99-1.00
O (0.3442, 0.0304, 0.7263)  1 H 1.00
O (0.4217, 0.3695, 0.8216)  1 H 0.99
O (0.5783, 0.6305, 0.1784)  1 H 0.99
O (0.6558, 0.9696, 0.2737)  1 H 1.00
O (0.6617, 0.0615, 0.5925)  2 H 0.99-1.00
O (0.6801, 0.6268, 0.6739)  2 H 0.98-1.01
O (0.6932, 0.7616, 0.9091)  1 P 1.51
O (0.7033, 0.4214, 0.4948)  2 H 0.99-1.01
O (0.7164, 0.4005, 0.0290)  1 H 1.07
O (0.9288, 0.5070, 0.1685)  1 H 1.51, 1 P 1.53
O (0.9337, 0.1078, 0.2509)  1 H 1.40, 1 P 1.53
O (0.9388, 0.7868, 0.4834)  1 P 1.52, 1 H 1.58
O (0.9843, 0.8004, 0.2034)  1 H 1.04

Computed properties:
**Total magnetization**: 0.000 μB/f.u.
**Fermi-level density of states**: 0.00 states/eV/cell

---

Entry 2:
MgTc2P: optimized geometry, PBEsol.

Lattice parameters (Å, degrees): 2.7522 2.7522 8.4177 90.00 90.00 112.67
With the nearest neighbours (Å) after each atom.
Fractional coordinates of all 4 atoms:
Mg (0.0000, 0.0000, 0.0000)  2 Tc 2.71, 2 P 2.73, 4 Mg 2.75
Tc (0.0000, 0.0000, 0.5164)  2 P 2.36, 2 Tc 2.60
Tc (0.5000, 0.5000, 0.2657)  6 Tc 2.60-2.75, 2 Mg 2.71
P (0.5000, 0.5000, 0.7310)  2 Tc 2.36

Computed properties:
**Energy of formation**: 0.18 eV/atom
**ΔE to the lowest computed polymorph**: 338 meV per atom
**Total magnetization**: 0.000 μB/f.u.
**Fermi-level density of states**: 2.94 states/eV/cell

---

Entry 3:
VH10SNO9: optimized geometry, PBEsol.

Lattice parameters (Å, degrees): 6.1649 9.7166 6.6315 90.00 108.72 90.00
With the nearest neighbours (Å) after each atom.
Fractional coordinates of all 44 atoms:
V (0.1160, 0.0000, 0.3972)  2 O 1.61-1.67
V (0.8840, 0.5000, 0.6028)  2 O 1.61-1.67
H (0.0412, 0.7678, 0.6638)  1 O 1.02
H (0.0618, 0.6480, 0.2396)  1 N 1.04
H (0.1052, 0.6633, 0.9997)  1 N 1.05
H (0.1890, 0.2669, 0.2588)  1 O 1.02
H (0.2629, 0.5482, 0.1835)  1 N 1.05
H (0.2730, 0.2224, 0.6947)  1 O 1.00
H (0.3046, 0.7223, 0.2200)  1 N 1.03
H (0.3094, 0.0882, 0.8324)  1 O 1.00
H (0.3705, 0.3468, 0.0597)  1 O 0.99
H (0.4661, 0.8592, 0.7040)  1 O 1.01
H (0.5339, 0.3592, 0.2960)  1 O 1.01
H (0.6295, 0.8468, 0.9403)  1 O 0.99
H (0.6906, 0.5882, 0.1676)  1 O 1.00
H (0.6954, 0.2223, 0.7800)  1 N 1.03
H (0.7270, 0.7224, 0.3053)  1 O 1.00
H (0.7371, 0.0482, 0.8165)  1 N 1.05
H (0.8110, 0.7669, 0.7412)  1 O 1.02
H (0.8948, 0.1633, 0.0003)  1 N 1.05
H (0.9382, 0.1480, 0.7604)  1 N 1.04
H (0.9588, 0.2678, 0.3362)  1 O 1.02
S (0.4276, 0.5045, 0.7252)  4 O 1.45-1.51
S (0.5724, 0.0045, 0.2748)  4 O 1.45-1.51
N (0.1851, 0.6453, 0.1623)  4 H 1.03-1.05
N (0.8149, 0.1453, 0.8377)  4 H 1.03-1.05
O (0.0334, 0.9321, 0.1628)  1 V 1.61
O (0.0584, 0.2079, 0.2761)  2 H 1.02
O (0.1865, 0.8664, 0.5636)  2 H 1.59-1.68, 1 V 1.67
O (0.1887, 0.5341, 0.5793)  1 S 1.51
O (0.2066, 0.1289, 0.6974)  2 H 1.00
O (0.3687, 0.3667, 0.2048)  2 H 0.99-1.01
O (0.4301, 0.0467, 0.4117)  1 S 1.51
O (0.4527, 0.3561, 0.7738)  1 S 1.47
O (0.4829, 0.5879, 0.9171)  1 S 1.45
O (0.5171, 0.0879, 0.0829)  1 S 1.45
O (0.5473, 0.8561, 0.2262)  1 S 1.47
O (0.5699, 0.5467, 0.5883)  1 S 1.51
O (0.6313, 0.8667, 0.7952)  2 H 0.99-1.01
O (0.7934, 0.6289, 0.3026)  2 H 1.00
O (0.8113, 0.0341, 0.4207)  1 S 1.51
O (0.8135, 0.3664, 0.4364)  2 H 1.59-1.68, 1 V 1.67
O (0.9416, 0.7079, 0.7239)  2 H 1.02
O (0.9666, 0.4321, 0.8372)  1 V 1.61

Computed properties:
**Total magnetization**: 0.078 μB/f.u.
**Fermi-level density of states**: 0.00 states/eV/cell

---

Entry 4:
Ba2MnMo: optimized geometry, PBEsol.

Lattice parameters (Å, degrees): 3.8010 3.8010 8.2294 90.00 90.00 90.00
With the nearest neighbours (Å) after each atom.
Fractional coordinates of all 4 atoms:
Ba (0.0000, 0.0000, 0.2456)  4 Mo 3.36, 4 Mn 3.41
Ba (0.0000, 0.0000, 0.7544)  4 Mo 3.36, 4 Mn 3.41
Mn (0.5000, 0.5000, 0.5000)  8 Ba 3.41, 4 Mn 3.80
Mo (0.5000, 0.5000, 0.0000)  8 Ba 3.36

Computed properties:
**Energy of formation**: 1.30 eV/atom
**ΔE to the lowest computed polymorph**: 594 meV per atom
**Total magnetization**: 6.706 μB/f.u.
**Fermi-level density of states**: 4.21 states/eV/cell

---

Across the entries above, total energy takes the values -5.692, -7.332, -5.900, -5.158 eV/atom, respectively.